[1]
An optimized crystal structure of Sr3Pr4Pb3N2, computed with GGA-PBE.

Cell lengths 5.148, 26.161, 5.051 Å; angles 90.00, 90.00, 90.00 degrees
Space group Cmmm (No. 65)
Asymmetric unit:
1 Sr 0.000 0.000 0.000 (multiplicity 2)
2 Sr 0.000 0.095 0.500 (multiplicity 4)
3 Pr 0.000 0.198 0.000 (multiplicity 4)
4 Pr 0.000 0.398 0.000 (multiplicity 4)
5 Pb 0.000 0.308 0.500 (multiplicity 4)
6 Pb 0.000 0.500 0.500 (multiplicity 2)
7 N 0.000 0.105 0.000 (multiplicity 4)

Calculated values
Polymorph energy (0 for the lowest one)   62 meV per atom
Crystal system   orthorhombic
Mass density   7.21 g cm⁻³


[2]
An optimized crystal structure of Sr2Pr5Pb3N2, computed with GGA-PBE.

Cell lengths 5.119, 25.628, 5.072 Å; angles 90.00, 90.00, 90.00 degrees
Space group Cmmm (No. 65)
Asymmetric unit:
1 Sr 0.000 0.097 0.000 (multiplicity 4)
2 Pr 0.000 0.000 0.500 (multiplicity 2)
3 Pr 0.000 0.198 0.500 (multiplicity 4)
4 Pr 0.000 0.398 0.500 (multiplicity 4)
5 Pb 0.000 0.308 0.000 (multiplicity 4)
6 Pb 0.000 0.500 0.000 (multiplicity 2)
7 N 0.000 0.101 0.500 (multiplicity 4)

Calculated values
Polymorph energy (0 for the lowest one)   68 meV per atom
Crystal system   orthorhombic
Mass density   7.63 g cm⁻³


[3]
An optimized crystal structure of RePbN2, computed with GGA-PBE.

Cell lengths 14.210, 2.994, 5.263 Å; angles 90.00, 102.99, 90.00 degrees
Space group C2/m (No. 12)
Asymmetric unit:
1 Re 0.248 0.000 0.285 (multiplicity 4)
2 Pb 0.000 0.000 0.500 (multiplicity 2)
3 Pb 0.000 0.500 0.000 (multiplicity 2)
4 N 0.154 0.500 0.348 (multiplicity 4)
5 N 0.180 0.000 0.868 (multiplicity 4)

Calculated values
Crystal system   monoclinic
Mass density   12.83 g cm⁻³
Total DFT energy (no corrections)   -31.07 eV/f.u.


[4]
An optimized crystal structure of Ta4SbPbN2, computed with GGA-PBE.

Cell lengths 3.3207, 3.3207, 13.4341 Å; angles 90.00, 90.00, 120.00 degrees
Space group P-6m2 (No. 187)
Asymmetric unit:
1 Ta 0.0000 0.0000 0.1638 (multiplicity 2)
2 Ta 0.6667 0.3333 0.3230 (multiplicity 2)
3 Sb 0.6667 0.3333 0.0000 (multiplicity 1)
4 Pb 0.0000 0.0000 0.5000 (multiplicity 1)
5 N 0.3333 0.6667 0.2434 (multiplicity 2)

Calculated values
Crystal system   hexagonal
Mass density   13.99 g cm⁻³
Total DFT energy (no corrections)   -73.86 eV/f.u.


Look up the mass density of the second one. 7.63 g cm⁻³


Number 1 is which compound? Sr3Pr4Pb3N2


mass density of number 1 (Sr3Pr4Pb3N2)? 7.21 g cm⁻³